{"formula": "FePd3Pt2", "functional": "PBE-GGA", "state": "relaxed", "cell": [[8.715, 0.000, 0.000], [0.000, 9.276, 0.000], [0.000, 0.000, 2.698]], "species": ["Fe", "Fe", "Pd", "Pd", "Pd", "Pd", "Pd", "Pd", "Pt", "Pt", "Pt", "Pt"], "fractional_positions": [[0.000, 0.000, 0.000], [0.500, 0.500, 0.500], [0.000, 0.500, 0.000], [0.030, 0.238, 0.500], [0.470, 0.738, 0.000], [0.500, 0.000, 0.500], [0.530, 0.262, 0.000], [0.970, 0.762, 0.500], [0.239, 0.610, 0.500], [0.261, 0.110, 0.000], [0.739, 0.890, 0.000], [0.761, 0.390, 0.500]], "de_polymorph_ev_per_atom": 0.377, "spacegroup": "Pnnm", "ef_mev_per_atom": 256, "mass_density_g_cm3": 11.65, "dos_at_fermi_per_ev_cell": 11.95, "m_tot_mub_per_cell": 8.02}


{"formula": "FePd2Pt2", "functional": "PBE-GGA", "state": "relaxed", "cell": [[-1.376, 1.376, 9.835], [1.376, -1.376, 9.835], [1.376, 1.376, -9.835]], "species": ["Fe", "Pd", "Pd", "Pt", "Pt"], "fractional_positions": [[0.000, 0.000, 0.000], [0.198, 0.198, 0.000], [0.802, 0.802, 0.000], [0.408, 0.408, 0.000], [0.592, 0.592, 0.000]], "de_polymorph_ev_per_atom": 0.000, "spacegroup": "I4/mmm", "ef_mev_per_atom": -167, "mass_density_g_cm3": 14.69, "dos_at_fermi_per_ev_cell": 6.90, "m_tot_mub_per_cell": 4.00}


{"formula": "Fe6PdPt2", "functional": "PBE-GGA", "state": "relaxed", "cell": [[2.645, 0.000, 0.000], [-0.160, 6.555, 0.000], [-0.255, -1.725, 6.946]], "species": ["Fe", "Fe", "Fe", "Fe", "Fe", "Fe", "Pd", "Pt", "Pt"], "fractional_positions": [[0.032, 0.153, 0.273], [0.054, 0.493, 0.823], [0.286, 0.847, 0.400], [0.714, 0.153, 0.600], [0.946, 0.507, 0.177], [0.968, 0.847, 0.727], [0.500, 0.500, 0.500], [0.455, 0.191, 0.949], [0.545, 0.809, 0.051]], "spacegroup": "P-1", "ef_mev_per_atom": -37, "mass_density_g_cm3": 11.47, "dos_at_fermi_per_ev_cell": 7.92, "m_tot_mub_per_cell": 17.50}


{"formula": "Fe3Pd2Pt", "functional": "PBE-GGA", "state": "relaxed", "cell": [[3.218, 0.000, 0.000], [0.000, 3.218, 0.000], [0.000, 0.000, 8.254]], "species": ["Fe", "Fe", "Fe", "Pd", "Pd", "Pt"], "fractional_positions": [[0.000, 0.000, 0.000], [0.000, 0.000, 0.337], [0.000, 0.000, 0.663], [0.500, 0.500, 0.166], [0.500, 0.500, 0.834], [0.500, 0.500, 0.500]], "de_polymorph_ev_per_atom": 0.102, "spacegroup": "P4/mmm", "ef_mev_per_atom": -23, "mass_density_g_cm3": 11.18, "dos_at_fermi_per_ev_cell": 7.27, "m_tot_mub_per_cell": 10.38}


{"formula": "Fe5Pd12Pt2", "functional": "PBE-GGA", "state": "relaxed", "cell": [[7.233, -2.718, 0.000], [7.233, 2.718, 0.000], [-1.809, 0.000, 7.886]], "species": ["Fe", "Fe", "Fe", "Fe", "Fe", "Pd", "Pd", "Pd", "Pd", "Pd", "Pd", "Pd", "Pd", "Pd", "Pd", "Pd", "Pd", "Pt", "Pt"], "fractional_positions": [[0.000, 0.000, 0.000], [0.287, 0.287, 0.095], [0.374, 0.374, 0.617], [0.626, 0.626, 0.383], [0.713, 0.713, 0.905], [0.042, 0.550, 0.371], [0.093, 0.093, 0.793], [0.113, 0.605, 0.883], [0.395, 0.887, 0.117], [0.450, 0.958, 0.629], [0.471, 0.471, 0.168], [0.529, 0.529, 0.832], [0.550, 0.042, 0.371], [0.605, 0.113, 0.883], [0.887, 0.395, 0.117], [0.907, 0.907, 0.207], [0.958, 0.450, 0.629], [0.247, 0.753, 0.500], [0.753, 0.247, 0.500]], "spacegroup": "C2/m", "ef_mev_per_atom": 152, "mass_density_g_cm3": 10.42, "dos_at_fermi_per_ev_cell": 14.05, "m_tot_mub_per_cell": 20.91}


{"formula": "Fe2PdPt", "functional": "PBE-GGA", "state": "relaxed", "cell": [[3.862, 0.000, 0.000], [0.000, 3.862, 0.000], [0.000, 0.000, 3.752]], "species": ["Fe", "Fe", "Pd", "Pt"], "fractional_positions": [[0.000, 0.500, 0.000], [0.500, 0.000, 0.000], [0.000, 0.000, 0.500], [0.500, 0.500, 0.500]], "spacegroup": "P4/mmm", "ef_mev_per_atom": -159, "mass_density_g_cm3": 12.26, "dos_at_fermi_per_ev_cell": 2.40, "m_tot_mub_per_cell": 6.81}


{"formula": "Fe2Pd2Pt3", "functional": "PBE-GGA", "state": "relaxed", "cell": [[2.720, 0.000, 0.000], [0.000, 2.721, 0.000], [-1.353, 0.000, 14.422]], "species": ["Fe", "Fe", "Pd", "Pd", "Pt", "Pt", "Pt"], "fractional_positions": [[0.146, 0.000, 0.290], [0.854, 0.000, 0.710], [0.417, 0.500, 0.836], [0.583, 0.500, 0.164], [0.000, 0.500, 0.000], [0.292, 0.500, 0.583], [0.708, 0.500, 0.417]], "spacegroup": "P2/m", "ef_mev_per_atom": -35, "mass_density_g_cm3": 14.15, "dos_at_fermi_per_ev_cell": 6.24, "m_tot_mub_per_cell": 7.03}


{"formula": "Fe4Pd15Pt", "functional": "PBE-GGA", "state": "relaxed", "cell": [[3.915, 0.000, 0.000], [0.000, 3.915, 0.000], [0.000, 0.000, 19.407]], "species": ["Fe", "Fe", "Fe", "Fe", "Pd", "Pd", "Pd", "Pd", "Pd", "Pd", "Pd", "Pd", "Pd", "Pd", "Pd", "Pd", "Pd", "Pd", "Pd", "Pt"], "fractional_positions": [[0.000, 0.000, 0.100], [0.000, 0.000, 0.299], [0.000, 0.000, 0.701], [0.000, 0.000, 0.900], [0.000, 0.500, 0.000], [0.000, 0.500, 0.198], [0.000, 0.500, 0.395], [0.000, 0.500, 0.605], [0.000, 0.500, 0.802], [0.500, 0.000, 0.000], [0.500, 0.000, 0.198], [0.500, 0.000, 0.395], [0.500, 0.000, 0.605], [0.500, 0.000, 0.802], [0.500, 0.500, 0.099], [0.500, 0.500, 0.297], [0.500, 0.500, 0.500], [0.500, 0.500, 0.703], [0.500, 0.500, 0.901], [0.000, 0.000, 0.500]], "spacegroup": "P4/mmm", "ef_mev_per_atom": -83, "mass_density_g_cm3": 11.25, "dos_at_fermi_per_ev_cell": 21.61, "m_tot_mub_per_cell": 0.57}